Material: MoPb2W
Method: DFT, PBE
State: optimized geometry

Structure (POSCAR):
```
MoPb2W
1.0
-3.357 2.083 -2.781
2.047 -1.938 -3.924
-1.978 -2.751 0.327
Pb W Mo
2 1 1
direct
0.500 0.500 0.000 Pb
0.000 0.000 0.000 Pb
0.500 0.000 0.500 W
0.000 0.500 0.500 Mo
```

Summary:
* symmetry: No. 123
* energy relative to the lowest polymorph listed for this composition: 691 meV/atom